! Nd6PtAu2 PBE-GGA optimized geometry; values from VASP
! density = 8.7 g/cm3
! uncorrected energy = -5.14 eV per atom
! calculated formation energy = -5.0 eV per formula unit
! symmetry = P2_1/c
&SYSTEM
  ibrav = 0, nat = 18, ntyp = 3
/
ATOMIC_SPECIES
Au 196.97 Au.upf
Pt 195.08 Pt.upf
Nd 144.24 Nd.upf
CELL_PARAMETERS angstrom
-4.273 5.345 -0.497
-4.215 -2.842 5.673
6.314 4.833 7.112
ATOMIC_POSITIONS angstrom
Au -0.792 7.633 7.213
Pt 3.157 2.416 3.556
Nd 2.294 7.608 7.279
Au -0.642 3.334 2.329
Nd -2.076 1.588 7.473
Nd 0.921 3.917 8.139
Pt -4.244 1.252 2.588
Au -1.381 -0.298 5.074
Nd -2.793 5.257 7.435
Nd -0.603 6.982 10.172
Nd -0.098 5.747 4.815
Nd 3.994 4.373 5.537
Nd -1.571 0.354 2.116
Nd 0.619 2.078 4.852
Nd -4.468 -0.272 5.009
Nd -3.095 3.419 4.148
Nd -6.168 2.962 6.751
Au -1.532 4.002 9.958

! Nd7Pt2Au2 PBE-GGA optimized geometry; values from VASP
! density = 9.3 g/cm3
! uncorrected energy = -5.43 eV per atom
! calculated formation energy = -7.8 eV per formula unit
! offset from the most stable computed form = 0 meV per atom
! symmetry = Imm2
&SYSTEM
  ibrav = 0, nat = 11, ntyp = 3
/
ATOMIC_SPECIES
Nd 144.24 Nd.upf
Au 196.97 Au.upf
Pt 195.08 Pt.upf
CELL_PARAMETERS angstrom
3.913 0.000 0.839
1.028 8.395 4.748
-0.033 -0.083 9.699
ATOMIC_POSITIONS angstrom
Nd 2.256 5.998 8.565
Au 3.754 7.235 11.126
Nd 1.440 5.832 12.373
Nd 2.888 4.199 5.620
Nd 0.585 1.160 6.814
Nd 3.816 3.104 10.835
Pt 0.779 6.407 5.909
Au 1.377 2.858 3.120
Nd 2.968 8.259 5.247
Nd 3.245 0.692 3.957
Pt 2.306 2.972 8.334

! Nd3Pt8Au PBE-GGA optimized geometry; values from VASP
! density = 15.7 g/cm3
! uncorrected energy = -6.42 eV per atom
! calculated formation energy = -11.2 eV per formula unit
! symmetry = R3m
&SYSTEM
  ibrav = 0, nat = 12, ntyp = 3
/
ATOMIC_SPECIES
Pt 195.08 Pt.upf
Au 196.97 Au.upf
Nd 144.24 Nd.upf
CELL_PARAMETERS angstrom
-2.643 -4.310 -2.089
-0.549 -4.569 2.958
-8.766 0.137 3.644
ATOMIC_POSITIONS angstrom
Pt -3.004 -3.856 1.049
Pt -7.700 -6.074 4.366
Pt -4.339 -6.033 -0.007
Pt -4.415 -1.612 1.749
Au -6.193 -7.673 2.176
Nd -3.439 -8.780 0.977
Pt -10.399 -5.981 4.007
Pt -9.022 -8.229 3.321
Pt -3.281 -6.164 2.542
Nd -5.796 -4.445 2.176
Pt -8.747 -5.944 1.842
Nd -8.804 -3.235 3.486